{
  "formula": "Tc3MoF",
  "functional": "PBE+U",
  "state": "optimized geometry",
  "space_group": "Pm-3m",
  "energy_ev_per_cell": -34.89,
  "lattice": [[4.1546, 0.0000, 0.0000], [0.0000, 4.1546, 0.0000], [0.0000, 0.0000, 4.1546]],
  "species": ["Tc", "Tc", "F", "Tc", "Mo"],
  "frac_coords": [[0.5000, 0.0000, 0.0000], [0.0000, 0.5000, 0.0000], [0.0000, 0.0000, 0.0000], [0.0000, 0.0000, 0.5000], [0.5000, 0.5000, 0.5000]]
}